Crystalline Rb2VBr4Cl2 at its relaxed geometry. Source: the Alexandria database, functional PBE.

Results
The density of states at the Fermi level comes out at 0.73 states/eV per atom. The calculation puts the uncorrected energy at -3.7180 eV/atom. As for the uncorrected formation energy: -1.34 eV/atom.

a = 7.398 Å, b = 7.398 Å, c = 7.398 Å
α = 118.27°, β = 118.27°, γ = 93.03°
Sites, in units of the cell vectors:
Rb1 0.250 0.750 0.500
Rb2 0.750 0.250 0.500
V1 0.000 0.000 0.000
Br1 0.235 0.235 0.470
Br2 0.235 0.765 0.000
Br3 0.765 0.235 0.000
Br4 0.765 0.765 0.530
Cl1 0.225 0.225 0.000
Cl2 0.775 0.775 0.000

---

Crystalline RbVBr2Cl at its relaxed geometry. Source: the Alexandria database, functional PBE.

Results
The density of states at the Fermi level comes out at 0.10 states/eV per atom. The calculation puts the uncorrected energy at -4.2677 eV/atom. As for the uncorrected formation energy: -1.21 eV/atom.

a = 7.326 Å, b = 7.326 Å, c = 7.326 Å
α = 118.41°, β = 118.41°, γ = 92.77°
Sites, in units of the cell vectors:
Rb1 0.250 0.750 0.500
Rb2 0.750 0.250 0.500
V1 0.000 0.000 0.000
V2 0.500 0.500 0.000
Br1 0.222 0.722 0.944
Br2 0.278 0.222 0.500
Br3 0.722 0.778 0.500
Br4 0.778 0.278 0.056
Cl1 0.250 0.250 0.000
Cl2 0.750 0.750 0.000

---

Crystalline Rb2VBr5Cl at its relaxed geometry. Source: the Alexandria database, functional PBE.

Results
The density of states at the Fermi level comes out at 0.79 states/eV per atom. The calculation puts the uncorrected energy at -3.6439 eV/atom. As for the uncorrected formation energy: -1.28 eV/atom.

a = 7.473 Å, b = 7.473 Å, c = 7.473 Å
α = 119.26°, β = 119.26°, γ = 91.29°
Sites, in units of the cell vectors:
Rb1 0.000 0.500 0.500
Rb2 0.500 0.000 0.500
V1 0.253 0.253 0.000
Br1 0.014 0.014 0.000
Br2 0.015 0.015 0.530
Br3 0.015 0.485 0.000
Br4 0.485 0.015 0.000
Br5 0.485 0.485 0.470
Cl1 0.473 0.473 0.000

---

Crystalline Rb2WBr5Cl at its relaxed geometry. Source: the Alexandria database, functional PBE.

Results
The density of states at the Fermi level comes out at 0.83 states/eV per atom. The calculation puts the uncorrected energy at -3.8957 eV/atom. As for the uncorrected formation energy: -1.11 eV/atom.

a = 7.556 Å, b = 7.556 Å, c = 7.556 Å
α = 119.45°, β = 119.45°, γ = 90.96°
Sites, in units of the cell vectors:
Rb1 0.000 0.500 0.500
Rb2 0.500 0.000 0.500
W1 0.249 0.249 0.000
Br1 0.012 0.012 0.524
Br2 0.012 0.488 0.000
Br3 0.488 0.012 0.000
Br4 0.488 0.488 0.476
Br5 0.490 0.490 0.000
Cl1 0.024 0.024 0.000

---

Crystalline Rb2YBrCl6 at its relaxed geometry. Source: the Alexandria database, functional PBE.

Results
The density of states at the Fermi level comes out at 0.00 states/eV per atom. The calculation puts the uncorrected energy at -3.6504 eV/atom. As for the uncorrected formation energy: -1.54 eV/atom.

a = 8.218 Å, b = 8.218 Å, c = 8.218 Å
α = 123.75°, β = 123.75°, γ = 83.62°
Sites, in units of the cell vectors:
Rb1 0.250 0.750 0.500
Rb2 0.750 0.250 0.500
Y1 0.000 0.000 0.000
Br1 0.500 0.500 0.000
Cl1 0.214 0.214 0.000
Cl2 0.241 0.241 0.483
Cl3 0.241 0.759 0.000
Cl4 0.759 0.241 0.000
Cl5 0.759 0.759 0.517
Cl6 0.786 0.786 0.000

---

Crystalline RbYBr2Cl at its relaxed geometry. Source: the Alexandria database, functional PBE.

Results
The density of states at the Fermi level comes out at 0.60 states/eV per atom. The calculation puts the uncorrected energy at -4.1992 eV/atom. As for the uncorrected formation energy: -1.67 eV/atom.

a = 5.688 Å, b = 5.688 Å, c = 5.352 Å
α = 90.00°, β = 90.00°, γ = 90.00°
Sites, in units of the cell vectors:
Rb1 0.000 0.000 0.000
Y1 0.500 0.500 0.500
Br1 0.000 0.500 0.500
Br2 0.500 0.000 0.500
Cl1 0.500 0.500 0.000

---

Crystalline RbZnBrCl2 at its relaxed geometry. Source: the Alexandria database, functional PBE.

Results
The calculation puts the uncorrected energy at -2.8328 eV/atom. As for the uncorrected formation energy: -1.31 eV/atom.

a = 5.020 Å, b = 5.020 Å, c = 5.311 Å
α = 90.00°, β = 90.00°, γ = 90.00°
Sites, in units of the cell vectors:
Rb1 0.000 0.000 0.000
Zn1 0.500 0.500 0.500
Br1 0.500 0.500 0.000
Cl1 0.000 0.500 0.500
Cl2 0.500 0.000 0.500

---

Crystalline Rb2ZnBrCl6 at its relaxed geometry. Source: the Alexandria database, functional PBE.

Results
The density of states at the Fermi level comes out at 1.05 states/eV per atom. The calculation puts the uncorrected energy at -2.5602 eV/atom. As for the uncorrected formation energy: -0.96 eV/atom.

a = 7.231 Å, b = 7.231 Å, c = 7.231 Å
α = 113.29°, β = 113.29°, γ = 102.08°
Sites, in units of the cell vectors:
Rb1 0.250 0.750 0.500
Rb2 0.750 0.250 0.500
Zn1 0.000 0.000 0.000
Br1 0.500 0.500 0.000
Cl1 0.217 0.217 0.433
Cl2 0.217 0.783 0.000
Cl3 0.252 0.252 0.000
Cl4 0.748 0.748 0.000
Cl5 0.783 0.217 0.000
Cl6 0.783 0.783 0.567

---

Crystalline Rb2ZnBr6Cl at its relaxed geometry. Source: the Alexandria database, functional PBE.

Results
The density of states at the Fermi level comes out at 0.47 states/eV per atom. The calculation puts the uncorrected energy at -2.3049 eV/atom. As for the uncorrected formation energy: -0.80 eV/atom.

a = 7.946 Å, b = 7.946 Å, c = 7.946 Å
α = 122.23°, β = 122.23°, γ = 86.18°
Sites, in units of the cell vectors:
Rb1 0.250 0.750 0.500
Rb2 0.750 0.250 0.500
Zn1 0.000 0.000 0.000
Br1 0.209 0.209 0.000
Br2 0.252 0.252 0.503
Br3 0.252 0.748 0.000
Br4 0.748 0.252 0.000
Br5 0.748 0.748 0.497
Br6 0.791 0.791 0.000
Cl1 0.500 0.500 0.000

---

Crystalline RbZnBrCl2 at its relaxed geometry. Source: the Alexandria database, functional PBE.

Results
The density of states at the Fermi level comes out at 0.00 states/eV per atom. The calculation puts the uncorrected energy at -2.9298 eV/atom. As for the uncorrected formation energy: -1.41 eV/atom.

a = 7.584 Å, b = 5.872 Å, c = 8.320 Å
α = 90.00°, β = 106.87°, γ = 90.00°
Sites, in units of the cell vectors:
Rb1 0.198 0.250 0.323
Rb2 0.802 0.750 0.677
Zn1 0.419 0.250 0.847
Zn2 0.581 0.750 0.153
Br1 0.093 0.250 0.732
Br2 0.907 0.750 0.268
Cl1 0.417 0.750 0.336
Cl2 0.447 0.750 0.874
Cl3 0.553 0.250 0.126
Cl4 0.583 0.250 0.664

---

Crystalline RbZnBr2Cl at its relaxed geometry. Source: the Alexandria database, functional PBE.

Results
The calculation puts the uncorrected energy at -2.7066 eV/atom. As for the uncorrected formation energy: -1.22 eV/atom.

a = 5.336 Å, b = 5.336 Å, c = 4.990 Å
α = 90.00°, β = 90.00°, γ = 90.00°
Sites, in units of the cell vectors:
Rb1 0.000 0.000 0.000
Zn1 0.500 0.500 0.500
Br1 0.000 0.500 0.500
Br2 0.500 0.000 0.500
Cl1 0.500 0.500 0.000

---

Crystalline Rb2ZrBr6Cl at its relaxed geometry. Source: the Alexandria database, functional PBE.

Results
The density of states at the Fermi level comes out at 0.27 states/eV per atom. The calculation puts the uncorrected energy at -3.5349 eV/atom. As for the uncorrected formation energy: -1.30 eV/atom.

a = 8.151 Å, b = 8.151 Å, c = 8.151 Å
α = 116.15°, β = 116.15°, γ = 96.80°
Sites, in units of the cell vectors:
Rb1 0.250 0.750 0.500
Rb2 0.750 0.250 0.500
Zr1 0.000 0.000 0.000
Br1 0.217 0.217 0.434
Br2 0.217 0.783 0.000
Br3 0.246 0.246 0.000
Br4 0.754 0.754 0.000
Br5 0.783 0.217 0.000
Br6 0.783 0.783 0.566
Cl1 0.500 0.500 0.000

---

Crystalline Rb2ZrBr6Cl at its relaxed geometry. Source: the Alexandria database, functional PBE.

Results
The density of states at the Fermi level comes out at 0.12 states/eV per atom. The calculation puts the uncorrected energy at -3.6332 eV/atom. As for the uncorrected formation energy: -1.40 eV/atom.

a = 7.794 Å, b = 7.974 Å, c = 8.438 Å
α = 66.10°, β = 62.87°, γ = 60.85°
Sites, in units of the cell vectors:
Rb1 0.000 0.000 0.000
Rb2 0.497 0.418 0.553
Zr1 0.784 0.691 0.738
Br1 0.006 0.474 0.958
Br2 0.033 0.863 0.473
Br3 0.476 0.552 0.959
Br4 0.491 0.889 0.573
Br5 0.599 0.977 0.912
Br6 0.956 0.399 0.575
Cl1 0.539 0.219 0.263

---

Crystalline Rb2ZrBr2Cl4 at its relaxed geometry. Source: the Alexandria database, functional PBE.

Results
The density of states at the Fermi level comes out at 0.00 states/eV per atom. The calculation puts the uncorrected energy at -4.1932 eV/atom. As for the uncorrected formation energy: -1.84 eV/atom.

a = 7.517 Å, b = 7.517 Å, c = 7.544 Å
α = 119.09°, β = 119.09°, γ = 59.87°
Sites, in units of the cell vectors:
Rb1 0.247 0.247 0.231
Rb2 0.753 0.753 0.769
Zr1 0.500 0.500 0.000
Br1 0.255 0.255 0.714
Br2 0.745 0.745 0.286
Cl1 0.242 0.711 0.208
Cl2 0.289 0.758 0.792
Cl3 0.711 0.242 0.208
Cl4 0.758 0.289 0.792

---

Crystalline Re2BrCl at its relaxed geometry. Source: the Alexandria database, functional PBE.

Results
The density of states at the Fermi level comes out at 1.07 states/eV per atom. The calculation puts the uncorrected energy at -7.0314 eV/atom. As for the uncorrected formation energy: 0.07 eV/atom.

a = 3.192 Å, b = 2.998 Å, c = 8.822 Å
α = 90.00°, β = 90.28°, γ = 90.00°
Sites, in units of the cell vectors:
Re1 0.000 0.000 0.000
Re2 0.498 0.500 0.836
Br1 0.003 0.500 0.236
Cl1 0.494 0.000 0.618

---

Crystalline Re2BrCl at its relaxed geometry. Source: the Alexandria database, functional PBE.

Results
The density of states at the Fermi level comes out at 0.53 states/eV per atom. The calculation puts the uncorrected energy at -5.6901 eV/atom. As for the uncorrected formation energy: 1.41 eV/atom.

a = 4.615 Å, b = 4.615 Å, c = 4.615 Å
α = 60.00°, β = 60.00°, γ = 60.00°
Sites, in units of the cell vectors:
Re1 0.000 0.000 0.000
Re2 0.250 0.250 0.250
Br1 0.500 0.500 0.500
Cl1 0.750 0.750 0.750

---

Crystalline Re2BrCl at its relaxed geometry. Source: the Alexandria database, functional PBE.

Results
The density of states at the Fermi level comes out at 0.79 states/eV per atom. The calculation puts the uncorrected energy at -5.3589 eV/atom. As for the uncorrected formation energy: 1.75 eV/atom.

a = 4.451 Å, b = 4.451 Å, c = 4.451 Å
α = 60.00°, β = 60.00°, γ = 60.00°
Sites, in units of the cell vectors:
Re1 0.250 0.250 0.250
Re2 0.750 0.750 0.750
Br1 0.000 0.000 0.000
Cl1 0.500 0.500 0.500

---

Crystalline Re2BrCl at its relaxed geometry. Source: the Alexandria database, functional PBE.

Results
The density of states at the Fermi level comes out at 0.88 states/eV per atom. The calculation puts the uncorrected energy at -5.7617 eV/atom. As for the uncorrected formation energy: 1.34 eV/atom.

a = 5.328 Å, b = 5.328 Å, c = 2.833 Å
α = 99.96°, β = 99.96°, γ = 116.18°
Sites, in units of the cell vectors:
Re1 0.000 0.500 0.000
Re2 0.500 0.000 0.000
Br1 0.000 0.000 0.000
Cl1 0.500 0.500 0.000

---

Crystalline ReBrCl at its relaxed geometry. Source: the Alexandria database, functional PBE.

Results
The density of states at the Fermi level comes out at 1.06 states/eV per atom. The calculation puts the uncorrected energy at -4.8981 eV/atom. As for the uncorrected formation energy: 0.42 eV/atom.

a = 8.208 Å, b = 7.817 Å, c = 3.295 Å
α = 84.88°, β = 71.55°, γ = 23.56°
Sites, in units of the cell vectors:
Re1 0.000 0.000 0.000
Br1 0.632 0.632 0.368
Cl1 0.378 0.378 0.622

---

Crystalline Re2BrCl at its relaxed geometry. Source: the Alexandria database, functional PBE.

Results
The density of states at the Fermi level comes out at 0.70 states/eV per atom. The calculation puts the uncorrected energy at -6.1023 eV/atom. As for the uncorrected formation energy: 1.00 eV/atom.

a = 3.694 Å, b = 4.440 Å, c = 5.249 Å
α = 90.00°, β = 95.72°, γ = 90.00°
Sites, in units of the cell vectors:
Re1 0.218 0.000 0.356
Re2 0.782 0.000 0.644
Br1 0.000 0.500 0.000
Cl1 0.500 0.500 0.500

---

no.,magnetic moment (μB per formula unit)
1,1.00
2,3.00
3,1.00
4,2.00
5,2.00
6,0.29
7,0.00
8,0.00
9,1.00
10,0.00
11,0.00
12,0.00
13,0.00
14,0.00
15,0.00
16,0.21
17,0.00
18,0.00
19,0.43
20,0.00